Density functional theory data (PBE+U) for Cs2VHO4 after structural relaxation.

Properties
- crystal system = orthorhombic
- raw total energy (eV/f.u.) = -46.6

Lattice parameters (Å, degrees): 7.141 7.141 10.476 90.00 90.00 137.10
Sites, in units of the cell vectors:
Cs (0.365, 0.635, 0.501)
O (0.783, 0.217, 0.611)
O (0.648, 0.892, 0.232)
O (0.408, 0.592, 0.996)
Cs (0.635, 0.365, 0.001)
V (0.656, 0.344, 0.639)
O (0.592, 0.408, 0.496)
Cs (0.080, 0.920, 0.340)
O (0.352, 0.108, 0.732)
O (0.217, 0.783, 0.111)
O (0.108, 0.352, 0.232)
Cs (0.920, 0.080, 0.840)
V (0.344, 0.656, 0.139)
H (0.128, 0.872, 0.727)
H (0.872, 0.128, 0.227)
O (0.892, 0.648, 0.732)